BeZnPt2: relaxed, PBE.

The structure in CIF format:
```
data_BeZnPt2
_chemical_formula_sum 'Be1 Zn1 Pt2'
_cell_length_a 2.927
_cell_length_b 2.927
_cell_length_c 6.300
_cell_angle_alpha 90.00
_cell_angle_beta 90.00
_cell_angle_gamma 90.00
_symmetry_space_group_name_H-M 'P 4 m m'
_symmetry_Int_Tables_number 99
loop_
_symmetry_equiv_pos_as_xyz
'x,y,z'
'-y,x,z'
'-x,-y,z'
'y,-x,z'
'-x,y,z'
'y,x,z'
'x,-y,z'
'-y,-x,z'
loop_
_atom_site_label
_atom_site_type_symbol
_atom_site_fract_x
_atom_site_fract_y
_atom_site_fract_z
Be1 Be 0.000 0.000 0.000
Zn1 Zn 0.500 0.500 0.751
Pt1 Pt 0.000 0.000 0.500
Pt2 Pt 0.500 0.500 0.169
```

Properties
For the total energy, the calculation gives -4.674 eV per atom. For the total moment, the calculation gives 0.00 μB/cell.

***

TcPO4: relaxed, PBE.

The structure in CIF format:
```
data_TcPO4
_chemical_formula_sum 'Tc4 P4 O16'
_cell_length_a 4.915
_cell_length_b 8.785
_cell_length_c 8.225
_cell_angle_alpha 90.00
_cell_angle_beta 90.00
_cell_angle_gamma 90.00
_symmetry_space_group_name_H-M 'C 2 2 21'
_symmetry_Int_Tables_number 20
loop_
_symmetry_equiv_pos_as_xyz
'x,y,z'
'-x,-y,z+1/2'
'x,-y,-z'
'-x,y,-z+1/2'
'x+1/2,y+1/2,z'
'-x+1/2,-y+1/2,z+1/2'
'x+1/2,-y+1/2,-z'
'-x+1/2,y+1/2,-z+1/2'
loop_
_atom_site_label
_atom_site_type_symbol
_atom_site_fract_x
_atom_site_fract_y
_atom_site_fract_z
Tc1 Tc 0.000 0.223 0.250
P1 P 0.105 0.500 0.500
O1 O 0.084 0.373 0.070
O2 O 0.213 0.060 0.138
```

Properties
For the total moment, the calculation gives 16.00 μB/cell. For the uncorrected formation energy, the calculation gives -9.14 eV per formula unit.

***

CeAg6F12: relaxed, PBE.

The structure in CIF format:
```
data_CeAg6F12
_chemical_formula_sum 'Ce3 Ag18 F36'
_cell_length_a 10.6124
_cell_length_b 10.6124
_cell_length_c 9.8023
_cell_angle_alpha 90.00
_cell_angle_beta 90.00
_cell_angle_gamma 120.00
_symmetry_space_group_name_H-M 'R -3'
_symmetry_Int_Tables_number 148
_symmetry_space_group_name_Hall '-R 3'
loop_
_atom_site_label
_atom_site_type_symbol
_atom_site_fract_x
_atom_site_fract_y
_atom_site_fract_z
Ce1 Ce 0.0000 0.0000 0.0000
Ag1 Ag 0.0294 0.2442 0.6406
F1 F 0.0080 0.2245 0.3947
F2 F 0.0261 0.1812 0.8741
```

Properties
For the total moment, the calculation gives 6.24 μB/cell. For the uncorrected formation energy, the calculation gives -33.51 eV per formula unit.

***

Pr2HoPuSe4: relaxed, PBE.

The structure in CIF format:
```
data_Pr2HoPuSe4
_chemical_formula_sum 'Pr2 Ho1 Pu1 Se4'
_cell_length_a 7.225
_cell_length_b 4.150
_cell_length_c 7.298
_cell_angle_alpha 90.00
_cell_angle_beta 108.99
_cell_angle_gamma 90.00
_symmetry_space_group_name_H-M 'P 1 2/m 1'
_symmetry_Int_Tables_number 10
loop_
_symmetry_equiv_pos_as_xyz
'x,y,z'
'-x,-y,-z'
'-x,y,-z'
'x,-y,z'
loop_
_atom_site_label
_atom_site_type_symbol
_atom_site_fract_x
_atom_site_fract_y
_atom_site_fract_z
Pr1 Pr 0.000 0.000 0.000
Pr2 Pr 0.500 0.500 0.000
Ho1 Ho 0.000 0.500 0.500
Pu1 Pu 0.500 0.000 0.500
Se1 Se 0.241 0.000 0.734
Se2 Se 0.251 0.500 0.263
```

Properties
For the total moment, the calculation gives 5.79 μB/cell. For the uncorrected formation energy, the calculation gives -14.02 eV per formula unit.

***

CaTcNiTe2: relaxed, PBE.

The structure in CIF format:
```
data_CaTcNiTe2
_chemical_formula_sum 'Ca1 Tc1 Ni1 Te2'
_cell_length_a 5.092
_cell_length_b 5.092
_cell_length_c 4.766
_cell_angle_alpha 90.00
_cell_angle_beta 90.00
_cell_angle_gamma 90.00
_symmetry_space_group_name_H-M 'P 4/m m m'
_symmetry_Int_Tables_number 123
_symmetry_space_group_name_Hall '-P 4 2'
loop_
_atom_site_label
_atom_site_type_symbol
_atom_site_fract_x
_atom_site_fract_y
_atom_site_fract_z
Ca1 Ca 0.000 0.000 0.000
Tc1 Tc 0.500 0.500 0.000
Ni1 Ni 0.000 0.000 0.500
Te1 Te 0.000 0.500 0.500
```

Properties
For the total moment, the calculation gives 3.33 μB/cell. For the uncorrected formation energy, the calculation gives 2.59 eV per formula unit.

***

TlSb2Te2: relaxed, PBE.

The structure in CIF format:
```
data_TlSb2Te2
_chemical_formula_sum 'Tl2 Sb4 Te4'
_cell_length_a 9.034
_cell_length_b 7.639
_cell_length_c 5.865
_cell_angle_alpha 90.00
_cell_angle_beta 116.74
_cell_angle_gamma 90.00
_symmetry_space_group_name_H-M 'C 1 2/m 1'
_symmetry_Int_Tables_number 12
loop_
_symmetry_equiv_pos_as_xyz
'x,y,z'
'-x,-y,-z'
'-x,y,-z'
'x,-y,z'
'x+1/2,y+1/2,z'
'-x+1/2,-y+1/2,-z'
'-x+1/2,y+1/2,-z'
'x+1/2,-y+1/2,z'
loop_
_atom_site_label
_atom_site_type_symbol
_atom_site_fract_x
_atom_site_fract_y
_atom_site_fract_z
Tl1 Tl 0.000 0.000 0.000
Sb1 Sb 0.000 0.262 0.500
Te1 Te 0.230 0.500 0.321
```

Properties
For the total moment, the calculation gives 0.00 μB/cell. For the uncorrected formation energy, the calculation gives 0.34 eV per formula unit.

***

Q: Which value of total moment does entry 2 give?
A: 16.00 μB/cell

***

Q: Look up the total moment of the first one.
A: 0.00 μB/cell